No. 1
# Tb12Pr5Dy (PBE, relaxed)
data_Tb12Pr5Dy
_cell_length_a 10.521
_cell_length_b 10.521
_cell_length_c 5.798
_cell_angle_alpha 90.00
_cell_angle_beta 90.00
_cell_angle_gamma 111.71
_symmetry_space_group_name_H-M 'P 1'
_symmetry_Int_Tables_number 1
loop_
_symmetry_equiv_pos_as_xyz
'x,y,z'
loop_
_atom_site_label
_atom_site_fract_x
_atom_site_fract_y
_atom_site_fract_z
Tb1 0.026 0.666 0.501
Tb2 0.166 0.523 0.999
Tb3 0.202 0.202 0.003
Tb4 0.301 0.301 0.503
Tb5 0.334 0.974 0.499
Tb6 0.477 0.834 0.001
Tb7 0.523 0.166 0.999
Tb8 0.666 0.026 0.501
Tb9 0.699 0.699 0.497
Tb10 0.798 0.798 0.997
Tb11 0.834 0.477 0.001
Tb12 0.974 0.334 0.499
Pr1 0.000 0.000 0.500
Pr2 0.139 0.861 0.000
Pr3 0.364 0.636 0.500
Pr4 0.636 0.364 0.500
Pr5 0.861 0.139 0.000
Dy1 0.500 0.500 0.000
# - volume (Å³/atom) = 33.13
# - magnetic moment (μB/atom) = 0.000
# - calculated formation energy (eV per atom) = 0.088

***

No. 2
# LiNi2Cl (PBE, relaxed)
data_LiNi2Cl
_cell_length_a 2.935
_cell_length_b 3.535
_cell_length_c 5.067
_cell_angle_alpha 90.00
_cell_angle_beta 90.00
_cell_angle_gamma 90.00
_symmetry_space_group_name_H-M 'P 1'
_symmetry_Int_Tables_number 1
loop_
_symmetry_equiv_pos_as_xyz
'x,y,z'
loop_
_atom_site_label
_atom_site_fract_x
_atom_site_fract_y
_atom_site_fract_z
Li1 0.000 0.000 0.000
Ni1 0.500 0.500 0.235
Ni2 0.500 0.500 0.765
Cl1 0.000 0.000 0.500
# - formation energy from raw total energies (eV per atom) = 0.228
# - volume (Å³/atom) = 13.14
# - magnetic moment (μB/atom) = 0.346

***

No. 3
# HgPb2O (PBE, relaxed)
data_HgPb2O
_cell_length_a 5.055
_cell_length_b 5.055
_cell_length_c 5.055
_cell_angle_alpha 60.00
_cell_angle_beta 60.00
_cell_angle_gamma 60.00
_symmetry_space_group_name_H-M 'P 1'
_symmetry_Int_Tables_number 1
loop_
_symmetry_equiv_pos_as_xyz
'x,y,z'
loop_
_atom_site_label
_atom_site_fract_x
_atom_site_fract_y
_atom_site_fract_z
Hg1 0.000 0.000 0.000
Pb1 0.250 0.250 0.250
Pb2 0.750 0.750 0.750
O1 0.500 0.500 0.500
# - formation energy from raw total energies (eV per atom) = 0.082
# - volume (Å³/atom) = 22.83
# - magnetic moment (μB/atom) = 0.000

***

No. 4
# FeRh4W (PBE, relaxed)
data_FeRh4W
_cell_length_a 4.131
_cell_length_b 4.131
_cell_length_c 5.791
_cell_angle_alpha 90.00
_cell_angle_beta 90.00
_cell_angle_gamma 90.00
_symmetry_space_group_name_H-M 'P 1'
_symmetry_Int_Tables_number 1
loop_
_symmetry_equiv_pos_as_xyz
'x,y,z'
loop_
_atom_site_label
_atom_site_fract_x
_atom_site_fract_y
_atom_site_fract_z
Fe1 0.000 0.000 0.000
Rh1 0.000 0.500 0.245
Rh2 0.000 0.500 0.755
Rh3 0.500 0.000 0.245
Rh4 0.500 0.000 0.755
W1 0.500 0.500 0.500
# - volume (Å³/atom) = 16.47
# - magnetic moment (μB/atom) = 0.618
# - calculated formation energy (eV per atom) = 0.195

***

No. 5
# HgPbC2 (PBE, relaxed)
data_HgPbC2
_cell_length_a 6.486
_cell_length_b 6.486
_cell_length_c 6.486
_cell_angle_alpha 131.77
_cell_angle_beta 131.77
_cell_angle_gamma 70.59
_symmetry_space_group_name_H-M 'P 1'
_symmetry_Int_Tables_number 1
loop_
_symmetry_equiv_pos_as_xyz
'x,y,z'
loop_
_atom_site_label
_atom_site_fract_x
_atom_site_fract_y
_atom_site_fract_z
Hg1 0.000 0.000 0.000
Hg2 0.750 0.250 0.500
Pb1 0.250 0.750 0.500
Pb2 0.500 0.500 0.000
C1 0.116 0.625 0.991
C2 0.375 0.366 0.491
C3 0.634 0.125 0.009
C4 0.875 0.884 0.509
# - volume (Å³/atom) = 18.58
# - magnetic moment (μB/atom) = 0.000
# - calculated formation energy (eV per atom) = 1.888

***

No. 6
# Ca3La3Ge4 (PBE, relaxed)
data_Ca3La3Ge4
_cell_length_a 4.548
_cell_length_b 7.847
_cell_length_c 7.847
_cell_angle_alpha 89.81
_cell_angle_beta 90.00
_cell_angle_gamma 90.00
_symmetry_space_group_name_H-M 'P 1'
_symmetry_Int_Tables_number 1
loop_
_symmetry_equiv_pos_as_xyz
'x,y,z'
loop_
_atom_site_label
_atom_site_fract_x
_atom_site_fract_y
_atom_site_fract_z
Ca1 0.000 0.000 0.000
Ca2 0.500 0.322 0.828
Ca3 0.500 0.828 0.322
La1 0.000 0.150 0.502
La2 0.000 0.502 0.150
La3 0.000 0.653 0.653
Ge1 0.500 0.211 0.211
Ge2 0.500 0.444 0.444
Ge3 0.500 0.707 0.942
Ge4 0.500 0.942 0.707
# - volume (Å³/atom) = 28.00
# - magnetic moment (μB/atom) = 0.000
# - calculated formation energy (eV per atom) = -0.738

***

No. 7
# ReAg3 (PBE, relaxed)
data_ReAg3
_cell_length_a 9.874
_cell_length_b 9.874
_cell_length_c 9.874
_cell_angle_alpha 16.44
_cell_angle_beta 16.44
_cell_angle_gamma 16.44
_symmetry_space_group_name_H-M 'P 1'
_symmetry_Int_Tables_number 1
loop_
_symmetry_equiv_pos_as_xyz
'x,y,z'
loop_
_atom_site_label
_atom_site_fract_x
_atom_site_fract_y
_atom_site_fract_z
Re1 0.000 0.000 0.000
Ag1 0.252 0.252 0.252
Ag2 0.500 0.500 0.500
Ag3 0.748 0.748 0.748
# - volume (Å³/atom) = 16.81
# - magnetic moment (μB/atom) = 0.077
# - calculated formation energy (eV per atom) = 0.420

***

No. 8
# Co2SiHg (PBE, relaxed)
data_Co2SiHg
_cell_length_a 2.955
_cell_length_b 2.955
_cell_length_c 6.673
_cell_angle_alpha 90.00
_cell_angle_beta 90.00
_cell_angle_gamma 90.00
_symmetry_space_group_name_H-M 'P 1'
_symmetry_Int_Tables_number 1
loop_
_symmetry_equiv_pos_as_xyz
'x,y,z'
loop_
_atom_site_label
_atom_site_fract_x
_atom_site_fract_y
_atom_site_fract_z
Co1 0.000 0.000 0.000
Co2 0.500 0.500 0.211
Si1 0.500 0.500 0.843
Hg1 0.000 0.000 0.488
# - formation energy from raw total energies (eV per atom) = 0.239
# - volume (Å³/atom) = 14.57
# - magnetic moment (μB/atom) = 0.660